This record from the Alexandria database describes a geometry-optimized VAs2SeF structure. The functional is PBE with a Hubbard U.

a b c (Å): 4.7172 4.7172 4.6694
angles (deg): 90.00 90.00 90.00
Fractional coordinates of all 5 atoms:
As 0.0000 0.5000 0.0000
As 0.5000 0.0000 0.0000
F 0.5000 0.5000 0.5000
Se 0.0000 0.0000 0.5000
V 0.0000 0.0000 0.0000

Density, g/cm³: 4.77
Space group: P4/mmm (123)
Energy above the most stable polymorph in this dataset, eV per atom: 0.4928
M_tot, μB per atom: 0.00